Material: FeRe2F
Method: DFT, GGA+U
State: optimized geometry

For the density of states at the Fermi level, the calculation gives 10.82 states/eV/cell. As for the spin magnetization: 0.00 μB per atom. As for the energy: -6.96 eV per atom. Its density is 15.096 Mg/m³.

It has space group Fm-3m (No. 225), with a = 5.8166 Å, b = 5.8166 Å, c = 5.8166 Å, α = 90.00°, β = 90.00° and γ = 90.00°. The inequivalent atoms are Fe at (0.0000, 0.0000, 0.0000), Re at (0.2500, 0.2500, 0.2500) and F at (0.0000, 0.0000, 0.5000).